VASP calculation (PBE) on a relaxed structure of La2InReAs.

a = 5.6011 Å, b = 4.7670 Å, c = 5.6011 Å
α = 90.00°, β = 90.00°, γ = 90.00°
Element x y z (fractional)
La1 0.0000 0.0000 0.5000
La2 0.5000 0.0000 0.0000
In1 0.5000 0.5000 0.5000
Re1 0.0000 0.0000 0.0000
As1 0.0000 0.5000 0.0000

Properties
The symmetry is P4/mmm (123). The formation energy is -59 kJ/mol of formula units. The total energy comes out at -6.06 eV per atom. The density of states at the Fermi level comes out at 6.750 states/eV per cell.

=====

VASP calculation (PBE) on a relaxed structure of ZnGeAsIrAu.

a = 4.0894 Å, b = 4.1934 Å, c = 6.3008 Å
α = 87.85°, β = 89.30°, γ = 61.54°
Element x y z (fractional)
Zn1 0.4222 0.3265 0.4814
Ir1 0.0863 0.0057 0.9352
As1 0.0914 0.9856 0.3262
Au1 0.7541 0.6696 0.6828
Ge1 0.4175 0.3492 0.9651

Properties
The symmetry is P1 (1). The formation energy is -2 kJ/mol of formula units. The total energy comes out at -4.54 eV per atom. The density of states at the Fermi level comes out at 2.193 states/eV per cell. The excess energy over the best structure of this formula in the dataset is 0.111 eV/atom.